# 1
The following is a GGA-PBE calculation of an optimized crystal structure of CaLa2ThSe4, from the Alexandria database.

a = 4.2307 Å, b = 7.4222 Å, c = 7.3561 Å
α = 109.20°, β = 90.00°, γ = 90.00°
Fractional coordinates of all 8 atoms:
Ca 0.5000 0.5000 0.0000
La 0.5000 0.0000 0.5000
La 0.0000 0.5000 0.5000
Th 0.0000 0.0000 0.0000
Se 0.5000 0.2515 0.2404
Se 0.5000 0.7485 0.7596
Se 0.0000 0.2571 0.7624
Se 0.0000 0.7429 0.2376

## Properties
VASP energy in eV/atom: -6.004
DOS at the Fermi energy in states/eV/f.u.: 5.14
Formation energy (no corrections) in eV per atom: -1.852



# 2
The following is a GGA-PBE calculation of an optimized crystal structure of SmSn2Au, from the Alexandria database.

a = 4.6651 Å, b = 7.4524 Å, c = 11.8428 Å
α = 90.00°, β = 90.00°, γ = 90.00°
Fractional coordinates of all 16 atoms:
Sm 0.7500 0.8200 0.6990
Sm 0.2500 0.6800 0.1990
Sm 0.2500 0.1800 0.3010
Sm 0.7500 0.3200 0.8010
Sn 0.7500 0.1828 0.5085
Sn 0.2500 0.3172 0.0085
Sn 0.2500 0.8172 0.4915
Sn 0.7500 0.6828 0.9915
Sn 0.7500 0.4901 0.3494
Sn 0.2500 0.0099 0.8494
Sn 0.2500 0.5099 0.6506
Sn 0.7500 0.9901 0.1506
Au 0.7500 0.8645 0.3710
Au 0.2500 0.6355 0.8710
Au 0.2500 0.1355 0.6290
Au 0.7500 0.3645 0.1290

## Properties
VASP energy in eV/atom: -4.559
DOS at the Fermi energy in states/eV/f.u.: 0.54



# 3
The following is a GGA-PBE calculation of an optimized crystal structure of Rb2ZrTe3O12, from the Alexandria database.

a = 7.4515 Å, b = 7.4515 Å, c = 7.4515 Å
α = 58.91°, β = 58.91°, γ = 58.91°
Fractional coordinates of all 18 atoms:
Rb 0.6257 0.6257 0.6257
Rb 0.3743 0.3743 0.3743
Zr 0.0000 0.0000 0.0000
Te 0.5000 0.0000 0.0000
Te 0.0000 0.5000 0.0000
Te 0.0000 0.0000 0.5000
O 0.3210 0.3210 0.9238
O 0.9309 0.9309 0.3356
O 0.3356 0.9309 0.9309
O 0.9238 0.3210 0.3210
O 0.9309 0.3356 0.9309
O 0.3210 0.9238 0.3210
O 0.6790 0.6790 0.0762
O 0.0691 0.0691 0.6644
O 0.6644 0.0691 0.0691
O 0.0762 0.6790 0.6790
O 0.0691 0.6644 0.0691
O 0.6790 0.0762 0.6790

## Properties
VASP energy in eV/atom: -5.993
DOS at the Fermi energy in states/eV/f.u.: 0.00
Formation energy (no corrections) in eV per atom: -1.582



# 4
The following is a GGA-PBE calculation of an optimized crystal structure of MnAl3, from the Alexandria database.

a = 2.8825 Å, b = 3.7214 Å, c = 5.3506 Å
α = 90.00°, β = 90.00°, γ = 90.00°
Last column: magnetic moment on the atom in μB.
Fractional coordinates of all 4 atoms:
Mn 0.0000 0.0000 0.0000  1.94
Al 0.5000 0.5000 0.7619  -0.04
Al 0.0000 0.0000 0.5000  -0.01
Al 0.5000 0.5000 0.2381  -0.04

## Properties
VASP energy in eV/atom: -5.251
DOS at the Fermi energy in states/eV/f.u.: 1.62



# 5
The following is a GGA-PBE calculation of an optimized crystal structure of Rb2CdS2, from the Alexandria database.

a = 7.7100 Å, b = 7.7100 Å, c = 5.0164 Å
α = 90.00°, β = 90.00°, γ = 90.00°
Fractional coordinates of all 10 atoms:
S 0.3212 0.8212 0.0000
S 0.8212 0.6788 0.0000
S 0.6788 0.1788 0.0000
S 0.1788 0.3212 0.0000
Rb 0.1438 0.6438 0.5000
Rb 0.6438 0.8562 0.5000
Rb 0.8562 0.3562 0.5000
Rb 0.3562 0.1438 0.5000
Cd 0.0000 0.0000 0.0000
Cd 0.5000 0.5000 0.0000

## Properties
VASP energy in eV/atom: -2.842
DOS at the Fermi energy in states/eV/f.u.: 0.00
Formation energy (no corrections) in eV per atom: -0.621



# 6
The following is a GGA-PBE calculation of an optimized crystal structure of K6Rb12Na, from the Alexandria database.

a = 12.8785 Å, b = 12.8785 Å, c = 12.8785 Å
α = 110.97°, β = 110.97°, γ = 110.97°
Fractional coordinates of all 19 atoms:
K 0.2091 0.3092 0.4546
K 0.6908 0.5454 0.7909
K 0.5454 0.7909 0.6908
K 0.7909 0.6908 0.5454
K 0.3092 0.4546 0.2091
K 0.4546 0.2091 0.3092
Rb 0.3915 0.0800 0.5997
Rb 0.0800 0.5997 0.3915
Rb 0.5997 0.3915 0.0800
Rb 0.6085 0.9200 0.4003
Rb 0.9200 0.4003 0.6085
Rb 0.4003 0.6085 0.9200
Rb 0.0970 0.1460 0.7392
Rb 0.2608 0.9030 0.8540
Rb 0.8540 0.2608 0.9030
Rb 0.9030 0.8540 0.2608
Rb 0.7392 0.0970 0.1460
Rb 0.1460 0.7392 0.0970
Na 0.0000 0.0000 0.0000

## Properties
VASP energy in eV/atom: -1.014
DOS at the Fermi energy in states/eV/f.u.: 13.84
Offset from the most stable computed form in kJ/mol of formula units: 0